[1]
5
Lattice="5.9240 0.0000 0.0000 0.0000 5.9240 0.0000 0.0000 0.0000 6.0688" Properties=species:S:1:pos:R:3 comment="CsNaTlHg2 (GGA-PBE, relaxed)" spacegroup="P4/mmm, No. 123" de_polymorph_mev_per_atom=97.9 ef_kj_per_mol_fu=-44 e_tot_ev_per_atom=-1.12 pbc="T T T"
Cs 2.9620 2.9620 3.0344
Na 0.0000 0.0000 3.0344
Tl 0.0000 0.0000 0.0000
Hg 0.0000 2.9620 0.0000
Hg 2.9620 0.0000 0.0000

***

[2]
4
Lattice="-3.3118 -0.6299 1.6323 -1.1221 -3.5109 0.6658 1.9344 -1.1403 7.7823" Properties=species:S:1:pos:R:3 comment="Nd2AgC (GGA-PBE, relaxed)" spacegroup="R-3m, No. 166" ef_kj_per_mol_fu=-41 e_tot_ev_per_atom=-5.51 pbc="T T T"
C 0.0000 0.0000 0.0000
Nd -1.6426 -3.9445 8.0374
Nd -0.8570 -1.3366 2.0429
Ag -1.2498 -2.6406 5.0402

***

[3]
9
Lattice="-1.4739 -2.1777 3.0713 3.3576 -2.2527 0.0141 4.2285 6.3434 6.5271" Properties=species:S:1:pos:R:3 comment="YAlSi2Ir5 (GGA-PBE, relaxed)" spacegroup="P4/mmm, No. 123" formation_energy_uncorrected_mev_per_atom=-464 e_tot_ev_per_atom=-7.73 pbc="T T T"
Y 2.1143 3.1717 3.2636
Al 0.0000 0.0000 0.0000
Si 2.0803 -0.5073 3.3001
Si 4.0319 2.4203 6.3124
Ir 2.3106 -0.1786 0.9822
Ir -0.1052 -0.1411 2.5109
Ir 5.2756 4.2693 5.5589
Ir 2.8598 4.3068 7.0876
Ir 3.0561 0.9565 4.8063

***

[4]
5
Lattice="4.6247 0.0000 0.0000 0.0000 4.6178 0.0000 -2.3123 -2.3089 6.1848" Properties=species:S:1:pos:R:3 comment="BaMgCd2Si (GGA-PBE, relaxed)" spacegroup="Imm2, No. 44" formation_energy_uncorrected_mev_per_atom=-289 e_tot_ev_per_atom=-2.44 pbc="T T T"
Ba 0.0000 0.0000 5.3573
Mg 0.0000 2.3089 2.4949
Cd 2.3123 0.0000 2.4591
Cd 0.0000 0.0000 0.6156
Si 2.3123 2.3089 4.0669

***

[5]
19
Lattice="-2.1656 5.6883 2.8880 -3.1083 -0.1666 -5.9747 -2.8963 -4.9289 3.5642" Properties=species:S:1:pos:R:3 comment="TmFe12Ge6 (GGA-PBE, relaxed)" spacegroup="R-3m, No. 166" ef_kj_per_mol_fu=45 e_tot_ev_per_atom=-7.01 pbc="T T T"
Tm 0.0000 0.0000 0.0000
Fe -3.7192 2.5690 3.6789
Fe -5.3621 1.7861 1.0109
Fe -5.5467 -0.8957 1.1817
Fe -2.5699 0.2855 1.7052
Fe -2.6234 1.4884 -0.7042
Fe -2.8080 -1.1934 -0.5334
Fe -4.3687 -3.8249 0.5012
Fe -4.1674 2.1449 -3.4640
Fe -4.4510 -1.9763 -3.2015
Fe -3.8014 4.4176 -0.0238
Fe -4.0028 -1.5522 3.9414
Fe -5.6002 0.3072 -1.2277
Ge -3.1283 2.7801 1.4575
Ge -3.4656 -2.1208 1.7697
Ge -3.5634 0.0775 -2.6335
Ge -4.7046 2.7135 -1.2922
Ge -5.0419 -2.1874 -0.9800
Ge -4.6067 0.5152 3.1110

***

[6]
12
Lattice="5.3752 0.0000 0.0000 0.0000 5.7123 0.0000 0.0000 0.0000 6.7801" Properties=species:S:1:pos:R:3 comment="NbFeS4 (GGA-PBE, relaxed)" spacegroup="Pnc2, No. 30" formation_energy_uncorrected_mev_per_atom=-513 e_tot_ev_per_atom=-6.35 pbc="T T T"
Nb 0.0000 2.8561 0.6224
Nb 2.6876 2.8561 4.0124
Fe 0.0000 0.0000 6.0874
Fe 2.6876 0.0000 2.6974
S 1.4450 4.7875 0.8364
S 1.4761 1.7390 5.9789
S 1.2115 1.7390 2.5888
S 1.2426 4.7875 4.2264
S 4.1637 3.9733 2.5888
S 4.1325 0.9248 4.2264
S 3.9302 0.9248 0.8364
S 3.8991 3.9733 5.9789

***

[7]
4
Lattice="-2.1878 1.2272 1.7103 0.4241 -3.1453 2.7995 2.9034 2.2563 2.0951" Properties=species:S:1:pos:R:3 comment="MgSiRh2 (GGA-PBE, relaxed)" spacegroup="P4/mmm, No. 123" formation_energy_uncorrected_mev_per_atom=-735 e_tot_ev_per_atom=-6.17 pbc="T T T"
Si -0.8819 -0.9590 2.2549
Rh 0.0000 0.0000 0.0000
Rh 1.6638 -0.4445 2.4473
Mg 0.3578 1.7418 1.9027

***

[8]
10
Lattice="4.9439 0.0000 0.0093 0.0000 4.0232 0.0000 -1.8077 0.0000 14.7115" Properties=species:S:1:pos:R:3 comment="RbCdTePPd (GGA-PBE, relaxed)" spacegroup="Cm, No. 8" de_polymorph_mev_per_atom=123.5 formation_energy_uncorrected_mev_per_atom=-282 e_tot_ev_per_atom=-3.41 pbc="T T T"
Rb -0.1451 0.0000 8.0092
Rb 0.7588 2.0116 0.6534
Cd 3.2083 0.0000 2.7167
Cd 2.3044 2.0116 10.0724
Te 1.7234 0.0000 12.9718
Te 2.6272 2.0116 5.6160
P -1.0817 0.0000 11.5345
P -0.1778 2.0116 4.1787
Pd 1.1046 0.0000 4.6883
Pd 0.2008 2.0116 12.0441